(1)
# K3Er3CoO8 | the Alexandria database | PBE+U | relaxed
data_K3Er3CoO8
_cell_length_a 6.636
_cell_length_b 6.636
_cell_length_c 7.343
_cell_angle_alpha 116.86
_cell_angle_beta 90.00
_cell_angle_gamma 120.00
_symmetry_space_group_name_H-M 'P 1'
_symmetry_Int_Tables_number 1
loop_
_symmetry_equiv_pos_as_xyz
'x,y,z'
loop_
_atom_site_label
_atom_site_type_symbol
_atom_site_fract_x
_atom_site_fract_y
_atom_site_fract_z
K1 K 0.000 0.000 0.000
K2 K 0.000 0.500 0.000
K3 K 0.500 0.500 0.000
Er1 Er 0.500 0.000 0.500
Er2 Er 0.500 0.500 0.500
Er3 Er 0.000 0.500 0.500
Co1 Co 0.000 0.000 0.500
O1 O 0.273 0.545 0.318
O2 O 0.727 0.455 0.682
O3 O 0.795 0.589 0.331
O4 O 0.205 0.411 0.669
O5 O 0.795 0.036 0.331
O6 O 0.205 0.964 0.669
O7 O 0.241 0.036 0.331
O8 O 0.759 0.964 0.669
# Total energy   -6.457 eV per atom
# Mass density   5.6 g/cm3

---

(2)
# KErCoO3 | the Alexandria database | PBE+U | relaxed
data_KErCoO3
_cell_length_a 3.492
_cell_length_b 7.303
_cell_length_c 9.342
_cell_angle_alpha 111.46
_cell_angle_beta 90.00
_cell_angle_gamma 90.00
_symmetry_space_group_name_H-M 'P 1'
_symmetry_Int_Tables_number 1
loop_
_symmetry_equiv_pos_as_xyz
'x,y,z'
loop_
_atom_site_label
_atom_site_type_symbol
_atom_site_fract_x
_atom_site_fract_y
_atom_site_fract_z
K1 K 0.250 0.199 0.169
K2 K 0.750 0.801 0.831
Er1 Er 0.250 0.671 0.142
Er2 Er 0.750 0.329 0.858
Co1 Co 0.250 0.037 0.618
Co2 Co 0.750 0.963 0.382
O1 O 0.750 0.891 0.160
O2 O 0.250 0.109 0.840
O3 O 0.250 0.838 0.405
O4 O 0.750 0.162 0.595
O5 O 0.750 0.462 0.115
O6 O 0.250 0.538 0.885
# Total energy   -6.407 eV per atom
# Mass density   4.7 g/cm3